1.
Computed, not measured: a relaxed structure of LiErCuGe at the PBE level of DFT.

Values from the calculation:
Symmetry: F-43m
Energy of formation from the pure elements: -150 kJ/mol of formula units

Unit cell a=4.672 b=4.672 c=4.672 alpha=60.00 beta=60.00 gamma=60.00
Atoms (fractional coordinates):
Li 0.000 0.000 0.000
Er 0.500 0.500 0.500
Cu 0.750 0.750 0.750
Ge 0.250 0.250 0.250

---

2.
Computed, not measured: a relaxed structure of Ba2ZnHgH at the PBE level of DFT.

Values from the calculation:
Excess energy over the best structure of this formula in the dataset: 0.000 eV/atom
Symmetry: P4/mmm

Unit cell a=5.679 b=5.679 c=4.352 alpha=90.00 beta=90.00 gamma=90.00
Atoms (fractional coordinates):
Ba 0.000 0.500 0.000
Ba 0.500 0.000 0.000
Zn 0.000 0.000 0.500
Hg 0.500 0.500 0.500
H 0.000 0.000 0.000

---

3.
Computed, not measured: a relaxed structure of ThMgGa2 at the PBE level of DFT.

Values from the calculation:
Symmetry: P4/mmm
Energy of formation from the pure elements: -121 kJ/mol of formula units

Unit cell a=3.499 b=3.499 c=7.165 alpha=90.00 beta=90.00 gamma=90.00
Atoms (fractional coordinates):
Th 0.000 0.000 0.000
Mg 0.000 0.000 0.500
Ga 0.500 0.500 0.290
Ga 0.500 0.500 0.710